# 1
Material: HfIn3Ir
Method: DFT, GGA-PBE
State: relaxed

Computed properties:
**Total energy**: -4.90 eV per atom
**Energy of formation**: 0.501 eV per atom
**Offset from the most stable computed form**: 0.0 meV per atom
**M_tot**: 0.00 μB per formula unit

Structure (CIF):
```
data_HfIn3Ir
_cell_length_a 5.0949
_cell_length_b 5.0949
_cell_length_c 5.0949
_cell_angle_alpha 90.00
_cell_angle_beta 90.00
_cell_angle_gamma 90.00
_space_group_name_H-M_alt 'P 1'
_space_group_IT_number 1
_space_group_name_Hall 'P 1'
loop_
_atom_site_label
_atom_site_fract_x
_atom_site_fract_y
_atom_site_fract_z
_atom_site_occupancy
Hf1 0.0000 0.0000 0.0000 1
In1 0.0000 0.5000 0.5000 1
In2 0.5000 0.0000 0.5000 1
In3 0.5000 0.5000 0.0000 1
Ir1 0.5000 0.5000 0.5000 1
```

# 2
Material: Hf8In2Ir
Method: DFT, GGA-PBE
State: relaxed

Computed properties:
**Total energy**: -8.55 eV per atom
**Energy of formation**: -0.008 eV per atom
**M_tot**: 0.00 μB per formula unit

Structure (CIF):
```
data_Hf8In2Ir
_cell_length_a 7.7330
_cell_length_b 7.7330
_cell_length_c 5.2727
_cell_angle_alpha 102.48
_cell_angle_beta 102.48
_cell_angle_gamma 120.96
_space_group_name_H-M_alt 'P 1'
_space_group_IT_number 1
_space_group_name_Hall 'P 1'
loop_
_atom_site_label
_atom_site_fract_x
_atom_site_fract_y
_atom_site_fract_z
_atom_site_occupancy
Hf1 0.1065 0.3244 0.6663 1
Hf2 0.1975 0.8025 0.0000 1
Hf3 0.3244 0.1065 0.6663 1
Hf4 0.3876 0.3876 0.2051 1
Hf5 0.6124 0.6124 0.7949 1
Hf6 0.6756 0.8935 0.3337 1
Hf7 0.8025 0.1975 0.0000 1
Hf8 0.8935 0.6756 0.3337 1
In1 0.3005 0.6995 0.5000 1
In2 0.6995 0.3005 0.5000 1
Ir1 0.0000 0.0000 0.0000 1
```

# 3
Material: HfInIr2
Method: DFT, GGA-PBE
State: relaxed

Computed properties:
**Total energy**: -7.60 eV per atom
**Energy of formation**: 0.003 eV per atom
**M_tot**: 0.00 μB per formula unit

Structure (CIF):
```
data_HfInIr2
_cell_length_a 5.9092
_cell_length_b 5.9092
_cell_length_c 5.9092
_cell_angle_alpha 104.51
_cell_angle_beta 104.51
_cell_angle_gamma 119.92
_space_group_name_H-M_alt 'P 1'
_space_group_IT_number 1
_space_group_name_Hall 'P 1'
loop_
_atom_site_label
_atom_site_fract_x
_atom_site_fract_y
_atom_site_fract_z
_atom_site_occupancy
Hf1 0.0000 0.0000 0.0000 1
Hf2 0.7500 0.2500 0.5000 1
In1 0.2500 0.7500 0.5000 1
In2 0.5000 0.5000 0.0000 1
Ir1 0.1095 0.6250 0.9845 1
Ir2 0.3750 0.3595 0.4845 1
Ir3 0.6405 0.1250 0.0155 1
Ir4 0.8750 0.8905 0.5155 1
```

# 4
Material: Hf6In2Ir
Method: DFT, GGA-PBE
State: relaxed

Computed properties:
**Total energy**: -8.16 eV per atom
**Energy of formation**: 0.064 eV per atom
**M_tot**: 0.00 μB per formula unit

Structure (CIF):
```
data_Hf6In2Ir
_cell_length_a 8.0809
_cell_length_b 8.0809
_cell_length_c 4.7628
_cell_angle_alpha 107.08
_cell_angle_beta 107.08
_cell_angle_gamma 47.87
_space_group_name_H-M_alt 'P 1'
_space_group_IT_number 1
_space_group_name_Hall 'P 1'
loop_
_atom_site_label
_atom_site_fract_x
_atom_site_fract_y
_atom_site_fract_z
_atom_site_occupancy
Hf1 0.0937 0.6047 0.3493 1
Hf2 0.2395 0.7605 0.0000 1
Hf3 0.3953 0.9063 0.6507 1
Hf4 0.6047 0.0937 0.3493 1
Hf5 0.7605 0.2395 0.0000 1
Hf6 0.9063 0.3953 0.6507 1
In1 0.3253 0.3253 0.8256 1
In2 0.6747 0.6747 0.1744 1
Ir1 0.0000 0.0000 0.5000 1
```